Record 1
The following is a DFT calculation (PBE) of a relaxed structure of MnIn2Se2S2.

Output
As for the total magnetization: 4.54 μB per cell. Its excess energy over the best structure of this formula in the dataset is 3 meV/atom. The value obtained for the raw total energy is -4.741 eV/atom. For the formation energy (no corrections), the calculation gives -0.47 eV/atom.

Unit cell a=13.218 b=13.218 c=13.218 alpha=17.58 beta=17.58 gamma=17.58
Each line ends with the local moment (μB).
Fractional coordinates of all 7 atoms:
Mn (0.765, 0.765, 0.765)  4.09
In (0.004, 0.004, 0.004)  -0.02
In (0.236, 0.236, 0.236)  0.01
Se (0.121, 0.121, 0.121)  0.02
Se (0.871, 0.871, 0.871)  0.01
S (0.703, 0.703, 0.703)  -0.01
S (0.299, 0.299, 0.299)  0.01

Record 2
The following is a DFT calculation (PBE) of a relaxed structure of Mn4In4Se5S5.

Output
As for the total magnetization: 19.74 μB per cell. The value obtained for the raw total energy is -5.249 eV/atom. For the formation energy (no corrections), the calculation gives -0.49 eV/atom.

Unit cell a=16.963 b=16.963 c=6.937 alpha=79.15 beta=79.15 gamma=13.33
Each line ends with the local moment (μB).
Fractional coordinates of all 18 atoms:
Mn (0.793, 0.793, 0.829)  4.27
Mn (0.290, 0.290, 0.372)  4.33
Mn (0.203, 0.203, 0.143)  4.36
Mn (0.702, 0.702, 0.629)  4.33
In (0.595, 0.595, 0.073)  0.02
In (0.092, 0.092, 0.576)  0.03
In (0.406, 0.406, 0.930)  0.03
In (0.904, 0.904, 0.432)  0.03
Se (0.329, 0.329, 0.989)  0.05
Se (0.444, 0.444, 0.228)  0.03
Se (0.945, 0.945, 0.722)  0.03
Se (0.553, 0.553, 0.784)  0.02
Se (0.055, 0.055, 0.275)  0.02
S (0.248, 0.248, 0.753)  0.10
S (0.746, 0.746, 0.276)  0.12
S (0.165, 0.165, 0.506)  0.06
S (0.668, 0.668, 0.001)  0.06
S (0.830, 0.830, 0.481)  0.07

Record 3
The following is a DFT calculation (PBE) of a relaxed structure of MnIn2Se2S2.

Output
As for the total magnetization: 4.88 μB per cell. Its excess energy over the best structure of this formula in the dataset is 0 meV/atom. The value obtained for the raw total energy is -4.744 eV/atom. For the formation energy (no corrections), the calculation gives -0.48 eV/atom.

Unit cell a=12.814 b=12.814 c=12.814 alpha=18.29 beta=18.29 gamma=18.29
Each line ends with the local moment (μB).
Fractional coordinates of all 7 atoms:
S (0.866, 0.866, 0.866)  0.02
S (0.122, 0.122, 0.122)  0.06
Mn (0.778, 0.778, 0.778)  4.21
Se (0.294, 0.294, 0.294)  0.02
Se (0.707, 0.707, 0.707)  0.02
In (0.003, 0.003, 0.003)  0.02
In (0.225, 0.225, 0.225)  0.02

Record 4
The following is a DFT calculation (PBE) of a relaxed structure of Mn3InSn2S8.

Output
As for the total magnetization: 12.55 μB per cell. The value obtained for the raw total energy is -5.557 eV/atom. For the formation energy (no corrections), the calculation gives -0.47 eV/atom.

Unit cell a=7.476 b=7.476 c=7.704 alpha=60.97 beta=60.97 gamma=60.00
Each line ends with the local moment (μB).
Fractional coordinates of all 14 atoms:
Mn (0.498, 0.005, 0.000)  3.95
Mn (0.005, 0.498, 0.000)  3.95
Mn (0.498, 0.498, 0.000)  3.95
In (0.867, 0.867, 0.398)  0.07
Sn (0.132, 0.132, 0.604)  -0.03
Sn (0.500, 0.500, 0.501)  -0.09
S (0.271, 0.271, 0.187)  -0.07
S (0.735, 0.735, 0.796)  0.01
S (0.252, 0.252, 0.782)  -0.05
S (0.714, 0.252, 0.782)  -0.05
S (0.252, 0.714, 0.782)  -0.05
S (0.745, 0.279, 0.230)  0.01
S (0.279, 0.745, 0.230)  0.01
S (0.745, 0.745, 0.230)  0.01

Record 5
The following is a DFT calculation (PBE) of a relaxed structure of Sr2MnInS5.

Output
As for the total magnetization: 8.00 μB per cell. The value obtained for the raw total energy is -5.193 eV/atom. For the formation energy (no corrections), the calculation gives -1.20 eV/atom.

Unit cell a=3.885 b=9.099 c=12.564 alpha=90.00 beta=90.00 gamma=102.33
Each line ends with the local moment (μB).
Fractional coordinates of all 18 atoms:
Sr (0.870, 0.740, 0.800)  0.01
Sr (0.102, 0.204, 0.653)  0.01
Sr (0.130, 0.260, 0.300)  0.01
Sr (0.898, 0.796, 0.153)  0.01
Mn (0.767, 0.534, 0.531)  3.76
Mn (0.233, 0.466, 0.031)  3.76
In (0.566, 0.132, 0.947)  0.01
In (0.434, 0.868, 0.447)  0.01
S (0.365, 0.730, 0.985)  0.06
S (0.707, 0.415, 0.911)  -0.09
S (0.505, 0.011, 0.774)  0.01
S (0.270, 0.540, 0.657)  -0.07
S (0.942, 0.884, 0.566)  0.02
S (0.635, 0.270, 0.485)  0.06
S (0.293, 0.585, 0.411)  -0.09
S (0.495, 0.989, 0.274)  0.01
S (0.730, 0.460, 0.157)  -0.07
S (0.058, 0.116, 0.066)  0.02

Record 6
The following is a DFT calculation (PBE) of a relaxed structure of SrMnIn2S.

Output
As for the total magnetization: 4.36 μB per cell. The value obtained for the raw total energy is -2.799 eV/atom. For the formation energy (no corrections), the calculation gives 1.29 eV/atom.

Unit cell a=6.196 b=5.685 c=6.196 alpha=90.00 beta=90.00 gamma=90.00
Each line ends with the local moment (μB).
Fractional coordinates of all 5 atoms:
Sr (0.000, 0.000, 0.000)  -0.08
S (0.500, 0.500, 0.500)  0.13
Mn (0.000, 0.500, 0.000)  4.13
In (0.000, 0.000, 0.500)  -0.03
In (0.500, 0.000, 0.000)  -0.06

Record 7
The following is a DFT calculation (PBE) of a relaxed structure of MnTl4In3S8.

Output
As for the total magnetization: 4.00 μB per cell. The value obtained for the raw total energy is -4.226 eV/atom. For the formation energy (no corrections), the calculation gives -0.48 eV/atom.

Unit cell a=7.702 b=8.651 c=7.707 alpha=116.47 beta=119.98 gamma=90.00
Each line ends with the local moment (μB).
Fractional coordinates of all 16 atoms:
Mn (0.000, 0.500, 0.000)  3.75
Tl (0.500, 0.000, 0.000)  0.00
Tl (0.500, 0.000, 0.500)  0.01
Tl (0.000, 0.000, 0.000)  0.01
Tl (0.000, 0.000, 0.500)  0.01
In (0.500, 0.500, 0.000)  0.01
In (0.500, 0.500, 0.500)  0.01
In (0.000, 0.500, 0.500)  0.01
S (0.221, 0.688, 0.966)  -0.03
S (0.222, 0.688, 0.444)  -0.03
S (0.269, 0.306, 0.537)  0.03
S (0.745, 0.688, 0.966)  -0.03
S (0.255, 0.312, 0.034)  -0.03
S (0.731, 0.694, 0.463)  0.03
S (0.778, 0.312, 0.556)  -0.03
S (0.779, 0.312, 0.034)  -0.03

Record 8
The following is a DFT calculation (PBE) of a relaxed structure of UMn2In2S4.

Output
As for the total magnetization: 5.70 μB per cell. The value obtained for the raw total energy is -6.376 eV/atom. For the formation energy (no corrections), the calculation gives -0.64 eV/atom.

Unit cell a=3.765 b=7.295 c=7.730 alpha=107.21 beta=104.09 gamma=90.00
Each line ends with the local moment (μB).
Fractional coordinates of all 9 atoms:
U (0.000, 0.000, 0.000)  -1.57
Mn (0.665, 0.904, 0.330)  3.42
Mn (0.335, 0.096, 0.670)  3.42
In (0.157, 0.560, 0.315)  0.00
In (0.843, 0.440, 0.685)  0.00
S (0.184, 0.122, 0.367)  0.06
S (0.816, 0.878, 0.633)  0.06
S (0.505, 0.741, 0.010)  0.04
S (0.495, 0.259, 0.990)  0.04

Record 9
The following is a DFT calculation (PBE) of a relaxed structure of YMnIn2S.

Output
As for the total magnetization: 2.81 μB per cell. The value obtained for the raw total energy is -5.074 eV/atom. For the formation energy (no corrections), the calculation gives -0.03 eV/atom.

Unit cell a=5.226 b=4.362 c=5.226 alpha=90.00 beta=90.00 gamma=90.00
Each line ends with the local moment (μB).
Fractional coordinates of all 5 atoms:
Y (0.500, 0.500, 0.500)  0.08
S (0.000, 0.500, 0.000)  0.04
Mn (0.000, 0.000, 0.000)  2.63
In (0.000, 0.000, 0.500)  -0.03
In (0.500, 0.000, 0.000)  -0.06

Record 10
The following is a DFT calculation (PBE) of a relaxed structure of MnZnIn4S8.

Output
As for the total magnetization: 4.96 μB per cell. The value obtained for the raw total energy is -4.473 eV/atom. For the formation energy (no corrections), the calculation gives -0.59 eV/atom.

Unit cell a=13.090 b=13.090 c=6.787 alpha=85.14 beta=85.14 gamma=17.22
Each line ends with the local moment (μB).
Fractional coordinates of all 14 atoms:
Zn (0.095, 0.095, 0.307)  0.00
Mn (0.239, 0.239, 0.925)  4.26
S (0.562, 0.562, 0.464)  0.01
S (0.060, 0.060, 0.994)  0.01
S (0.692, 0.692, 0.778)  0.04
S (0.188, 0.188, 0.263)  0.03
S (0.931, 0.931, 0.356)  0.02
S (0.431, 0.431, 0.857)  0.01
S (0.793, 0.793, 0.061)  0.03
S (0.293, 0.293, 0.577)  0.02
In (0.887, 0.887, 0.038)  0.02
In (0.388, 0.388, 0.536)  0.01
In (0.737, 0.737, 0.418)  0.02
In (0.594, 0.594, 0.797)  0.01

Record 11
The following is a DFT calculation (PBE) of a relaxed structure of MnZnInS4.

Output
As for the total magnetization: 8.00 μB per cell. The value obtained for the raw total energy is -4.822 eV/atom. For the formation energy (no corrections), the calculation gives -0.58 eV/atom.

Unit cell a=7.380 b=7.360 c=7.360 alpha=61.10 beta=59.91 gamma=59.91
Each line ends with the local moment (μB).
Fractional coordinates of all 14 atoms:
Mn (0.500, 0.000, 0.500)  3.71
Mn (0.000, 0.000, 0.500)  3.71
Zn (0.627, 0.623, 0.123)  0.03
Zn (0.373, 0.377, 0.877)  0.03
In (0.000, 0.000, 0.000)  0.03
In (0.000, 0.500, 0.500)  0.03
S (0.747, 0.776, 0.731)  -0.02
S (0.253, 0.769, 0.724)  -0.02
S (0.747, 0.231, 0.276)  -0.02
S (0.253, 0.224, 0.269)  -0.02
S (0.230, 0.766, 0.266)  -0.01
S (0.738, 0.766, 0.266)  -0.01
S (0.262, 0.234, 0.734)  -0.01
S (0.770, 0.234, 0.734)  -0.01

Record 12
The following is a DFT calculation (PBE) of a relaxed structure of ZrMnInS3.

Output
As for the total magnetization: 8.00 μB per cell. The value obtained for the raw total energy is -6.413 eV/atom. For the formation energy (no corrections), the calculation gives -0.94 eV/atom.

Unit cell a=3.745 b=7.276 c=9.935 alpha=90.00 beta=90.00 gamma=104.91
Each line ends with the local moment (μB).
Fractional coordinates of all 12 atoms:
Zr (0.000, 0.000, 0.500)  -0.17
Zr (0.000, 0.000, 0.000)  -0.17
Mn (0.453, 0.906, 0.750)  3.61
Mn (0.547, 0.094, 0.250)  3.61
In (0.742, 0.483, 0.750)  0.02
In (0.258, 0.517, 0.250)  0.02
S (0.627, 0.254, 0.456)  0.05
S (0.373, 0.746, 0.544)  0.05
S (0.373, 0.746, 0.956)  0.05
S (0.627, 0.254, 0.044)  0.05
S (0.059, 0.118, 0.750)  0.07
S (0.941, 0.882, 0.250)  0.07